Entry 1:
GePS | PBE | relaxed

Values from the calculation:
SG ... I4mm, No. 107
ΔE_f (raw) ... 0.28 eV per atom
Excess energy over the best structure of this formula in the dataset ... 0.3170 eV/atom
Calculated total energy ... -4.439 eV per atom

Unit cell a=3.6538 b=3.6538 c=5.7099 alpha=108.66 beta=108.66 gamma=90.00
Fractional positions:
P 0.3567 0.3567 0.7133
Ge 0.9316 0.9316 0.8632
S 0.5617 0.5617 0.1235

***

Entry 2:
NaCoSb6 | PBE | relaxed

Values from the calculation:
SG ... C2/m, No. 12
ΔE_f (raw) ... -0.01 eV per atom
Calculated total energy ... -4.154 eV per atom

Unit cell a=7.9958 b=7.9958 c=9.0768 alpha=110.90 beta=102.65 gamma=110.27
Fractional positions:
Na 0.0000 0.5000 0.0000
Na 0.5000 0.0000 0.0000
Co 0.0000 0.0000 0.5000
Co 0.5000 0.5000 0.5000
Sb 0.1236 0.6193 0.7430
Sb 0.8764 0.3807 0.2570
Sb 0.8450 0.6818 0.5268
Sb 0.1550 0.3182 0.4732
Sb 0.8060 0.1597 0.6270
Sb 0.1940 0.8403 0.3730
Sb 0.4673 0.8210 0.6270
Sb 0.5327 0.1790 0.3730
Sb 0.7088 0.8157 0.2115
Sb 0.2912 0.1843 0.7885
Sb 0.6042 0.4974 0.7885
Sb 0.3958 0.5026 0.2115